The following is a DFT calculation (PBE) of KTlTe3 after structural relaxation.

Unit cell a=5.328 b=7.142 c=11.444 alpha=99.39 beta=90.00 gamma=90.00
Sites, in units of the cell vectors:
1 K 0.250 0.349 0.632
2 K 0.750 0.651 0.368
3 Tl 0.750 0.117 0.101
4 Tl 0.250 0.883 0.899
5 Te 0.750 0.157 0.392
6 Te 0.250 0.446 0.956
7 Te 0.750 0.554 0.044
8 Te 0.250 0.843 0.608
9 Te 0.250 0.252 0.310
10 Te 0.750 0.748 0.690

The following is a DFT calculation (PBE) of KTl2Te2 after structural relaxation.

Unit cell a=6.017 b=6.017 c=6.713 alpha=63.38 beta=63.38 gamma=90.00
Sites, in units of the cell vectors:
1 Tl 0.351 0.351 0.298
2 Tl 0.649 0.649 0.702
3 Te 0.750 0.250 0.500
4 Te 0.250 0.750 0.500
5 K 0.000 0.000 0.000

The following is a DFT calculation (PBE) of K3TlTe3 after structural relaxation.

Unit cell a=8.917 b=8.917 c=8.525 alpha=94.88 beta=94.88 gamma=113.63
Sites, in units of the cell vectors:
1 K 0.600 0.600 0.355
2 K 0.171 0.829 0.500
3 K 0.829 0.171 0.500
4 K 0.228 0.772 0.000
5 K 0.772 0.228 0.000
6 K 0.400 0.400 0.645
7 Tl 0.809 0.809 0.856
8 Tl 0.191 0.191 0.144
9 Te 0.896 0.896 0.202
10 Te 0.848 0.530 0.717
11 Te 0.530 0.848 0.717
12 Te 0.152 0.470 0.283
13 Te 0.470 0.152 0.283
14 Te 0.104 0.104 0.798

Result set for formation energy from raw total energies: -0.389, -0.403, -0.755 eV/atom, one per record in the order listed.
Result set for calculated density: 4.841, 6.210, 3.814 g cm⁻³, one per record in the order listed.
Result set for energy: -2.967, -2.826, -2.910 eV per atom, one per record in the order listed.